Record 1
Compound: PrZr2Np
Source: the Alexandria database
Functional: PBE-GGA
Structure: relaxed Values from VASP.

Cell and atoms, written as Quantum ESPRESSO input:
```
&SYSTEM
  ibrav = 0, nat = 4, ntyp = 3
/
ATOMIC_SPECIES
Pr 140.91 Pr.upf
Zr 91.22 Zr.upf
Np 237.00 Np.upf
ATOMIC_POSITIONS crystal
Pr 0.000 0.000 0.000
Zr 0.093 0.093 0.093
Zr 0.907 0.907 0.907
Np 0.500 0.500 0.500
CELL_PARAMETERS angstrom
1.628 0.940 11.486
-1.628 0.940 11.486
0.000 -1.880 11.486
```

The value obtained for the total energy is -8.268 eV per atom. The space group is R-3m. Its formation energy from the elements is 0.44 eV/atom.



Record 2
Compound: NpPt2
Source: the Alexandria database
Functional: PBE-GGA
Structure: relaxed Values from VASP.

Cell and atoms, written as Quantum ESPRESSO input:
```
&SYSTEM
  ibrav = 0, nat = 6, ntyp = 2
/
ATOMIC_SPECIES
Np 237.00 Np.upf
Pt 195.08 Pt.upf
ATOMIC_POSITIONS crystal
Np 0.086 0.914 0.750
Np 0.914 0.086 0.250
Pt 0.248 0.752 0.250
Pt 0.413 0.587 0.750
Pt 0.587 0.413 0.250
Pt 0.752 0.248 0.750
CELL_PARAMETERS angstrom
2.126 -6.373 0.000
2.126 6.373 0.000
0.000 0.000 4.112
```

The value obtained for the total energy is -8.874 eV per atom. The space group is Cmcm. Its formation energy from the elements is -0.53 eV/atom.



no.,N(E_F) (states/eV/f.u.)
1,9.25
2,5.73